# 1
Compound: ScMn2P
Source: Alexandria via LeMat-Bulk
Functional: PBE-GGA
Structure: optimized geometry

M_tot   14.28 μB per cell
DFT formation energy   -0.1297 eV per atom
DFT total energy   -122.40 eV per cell
Theoretical density   5.73 g/cm³
SG   No. 216

a b c (Å): 5.995 5.995 5.995
angles (deg): 90.00 90.00 90.00
Fractional coordinates of all 16 atoms:
1 Sc 0.000 0.000 0.000
2 Sc 0.000 0.500 0.500
3 Sc 0.500 0.000 0.500
4 Sc 0.500 0.500 0.000
5 Mn 0.000 0.000 0.500
6 Mn 0.000 0.500 0.000
7 Mn 0.250 0.250 0.250
8 Mn 0.250 0.750 0.750
9 Mn 0.500 0.000 0.000
10 Mn 0.500 0.500 0.500
11 Mn 0.750 0.250 0.750
12 Mn 0.750 0.750 0.250
13 P 0.250 0.250 0.750
14 P 0.250 0.750 0.250
15 P 0.750 0.250 0.250
16 P 0.750 0.750 0.750



# 2
Compound: ScMnP2
Source: Alexandria via LeMat-Bulk
Functional: PBE-GGA
Structure: optimized geometry

Excess energy over the best structure of this formula in the dataset   428 meV/atom
M_tot   11.99 μB per cell
DFT formation energy   -0.3834 eV per atom
DFT total energy   -111.42 eV per cell
Theoretical density   3.10 g/cm³
SG   No. 122

a b c (Å): 5.541 5.541 11.298
angles (deg): 90.00 90.00 90.00
Fractional coordinates of all 16 atoms:
1 Sc 0.000 0.000 0.000
2 Sc 0.000 0.500 0.250
3 Sc 0.500 0.000 0.750
4 Sc 0.500 0.500 0.500
5 Mn 0.000 0.000 0.500
6 Mn 0.000 0.500 0.750
7 Mn 0.500 0.000 0.250
8 Mn 0.500 0.500 0.000
9 P 0.202 0.250 0.625
10 P 0.250 0.702 0.875
11 P 0.250 0.798 0.375
12 P 0.298 0.250 0.125
13 P 0.702 0.750 0.125
14 P 0.750 0.202 0.375
15 P 0.750 0.298 0.875
16 P 0.798 0.750 0.625



# 3
Compound: ScMn2P
Source: Alexandria via LeMat-Bulk
Functional: PBE-GGA
Structure: optimized geometry

M_tot   0.03 μB per cell
DFT formation energy   -0.1822 eV per atom
DFT total energy   -61.62 eV per cell
Theoretical density   6.05 g/cm³
SG   No. 44

a b c (Å): 2.995 3.991 8.532
angles (deg): 90.00 90.00 90.00
Fractional coordinates of all 8 atoms:
1 Sc 0.000 0.000 0.000
2 Sc 0.500 0.500 0.500
3 Mn 0.000 0.000 0.489
4 Mn 0.000 0.500 0.235
5 Mn 0.500 0.000 0.735
6 Mn 0.500 0.500 0.989
7 P 0.000 0.500 0.774
8 P 0.500 0.000 0.274



# 4
Compound: ScMnP2
Source: Alexandria via LeMat-Bulk
Functional: PBE-GGA
Structure: optimized geometry

Excess energy over the best structure of this formula in the dataset   763 meV/atom
M_tot   3.90 μB per cell
DFT formation energy   -0.0488 eV per atom
DFT total energy   -79.55 eV per cell
Theoretical density   4.36 g/cm³
SG   No. 160

a b c (Å): 3.070 3.070 22.661
angles (deg): 90.00 90.00 120.00
Fractional coordinates of all 12 atoms:
1 Sc 0.000 0.000 0.000
2 Sc 0.333 0.667 0.667
3 Sc 0.667 0.333 0.333
4 Mn 0.000 0.000 0.762
5 Mn 0.333 0.667 0.428
6 Mn 0.667 0.333 0.095
7 P 0.000 0.000 0.241
8 P 0.000 0.000 0.492
9 P 0.333 0.667 0.158
10 P 0.333 0.667 0.908
11 P 0.667 0.333 0.575
12 P 0.667 0.333 0.825



# 5
Compound: ScMn2P
Source: Alexandria via LeMat-Bulk
Functional: PBE-GGA
Structure: optimized geometry

M_tot   2.49 μB per cell
DFT formation energy   -0.2484 eV per atom
DFT total energy   -31.07 eV per cell
Theoretical density   5.76 g/cm³
SG   No. 123

a b c (Å): 3.061 3.061 5.718
angles (deg): 90.00 90.00 90.00
Fractional coordinates of all 4 atoms:
1 Sc 0.000 0.000 0.000
2 Mn 0.500 0.500 0.297
3 Mn 0.500 0.500 0.703
4 P 0.000 0.000 0.500



# 6
Compound: ScMnP2
Source: Alexandria via LeMat-Bulk
Functional: PBE-GGA
Structure: optimized geometry

Excess energy over the best structure of this formula in the dataset   174 meV/atom
M_tot   7.20 μB per cell
DFT formation energy   -0.6378 eV per atom
DFT total energy   -57.74 eV per cell
Theoretical density   4.02 g/cm³
SG   No. 38

a b c (Å): 3.697 3.500 10.332
angles (deg): 90.00 90.00 90.00
Fractional coordinates of all 8 atoms:
1 Sc 0.000 0.000 0.000
2 Sc 0.000 0.500 0.500
3 Mn 0.500 0.000 0.253
4 Mn 0.500 0.500 0.753
5 P 0.000 0.000 0.726
6 P 0.000 0.500 0.226
7 P 0.500 0.000 0.476
8 P 0.500 0.500 0.976



# 7
Compound: ScMnP2
Source: Alexandria via LeMat-Bulk
Functional: PBE-GGA
Structure: optimized geometry

Excess energy over the best structure of this formula in the dataset   320 meV/atom
M_tot   7.72 μB per cell
DFT formation energy   -0.4920 eV per atom
DFT total energy   -56.58 eV per cell
Theoretical density   4.30 g/cm³
SG   No. 119

a b c (Å): 3.647 3.647 9.407
angles (deg): 90.00 90.00 90.00
Fractional coordinates of all 8 atoms:
1 Sc 0.000 0.000 0.000
2 Sc 0.500 0.500 0.500
3 Mn 0.000 0.500 0.750
4 Mn 0.500 0.000 0.250
5 P 0.000 0.000 0.500
6 P 0.000 0.500 0.250
7 P 0.500 0.000 0.750
8 P 0.500 0.500 0.000



# 8
Compound: ScMnP2
Source: Alexandria via LeMat-Bulk
Functional: PBE-GGA
Structure: optimized geometry

Excess energy over the best structure of this formula in the dataset   253 meV/atom
M_tot   0.01 μB per cell
DFT formation energy   -0.5590 eV per atom
DFT total energy   -57.11 eV per cell
Theoretical density   4.53 g/cm³
SG   No. 71

a b c (Å): 3.745 5.159 6.137
angles (deg): 90.00 90.00 90.00
Fractional coordinates of all 8 atoms:
1 Sc 0.000 0.000 0.000
2 Sc 0.500 0.500 0.500
3 Mn 0.000 0.000 0.500
4 Mn 0.500 0.500 0.000
5 P 0.000 0.500 0.201
6 P 0.000 0.500 0.799
7 P 0.500 0.000 0.299
8 P 0.500 0.000 0.701



# 9
Compound: ScMnP2
Source: Alexandria via LeMat-Bulk
Functional: PBE-GGA
Structure: optimized geometry

Excess energy over the best structure of this formula in the dataset   55 meV/atom
M_tot   3.80 μB per cell
DFT formation energy   -0.7567 eV per atom
DFT total energy   -29.35 eV per cell
Theoretical density   3.91 g/cm³
SG   No. 123

a b c (Å): 3.646 3.646 5.165
angles (deg): 90.00 90.00 90.00
Fractional coordinates of all 4 atoms:
1 Sc 0.000 0.000 0.000
2 Mn 0.500 0.500 0.500
3 P 0.000 0.000 0.500
4 P 0.500 0.500 0.000



# 10
Compound: Sc2Mn2P
Source: Alexandria via LeMat-Bulk
Functional: PBE-GGA
Structure: optimized geometry

M_tot   12.40 μB per cell
DFT formation energy   0.6540 eV per atom
DFT total energy   -66.28 eV per cell
Theoretical density   4.03 g/cm³
SG   No. 139

a b c (Å): 4.045 4.045 11.632
angles (deg): 90.00 90.00 90.00
Fractional coordinates of all 10 atoms:
1 Sc 0.000 0.500 0.250
2 Sc 0.000 0.500 0.750
3 Sc 0.500 0.000 0.250
4 Sc 0.500 0.000 0.750
5 Mn 0.000 0.000 0.094
6 Mn 0.000 0.000 0.906
7 Mn 0.500 0.500 0.406
8 Mn 0.500 0.500 0.594
9 P 0.000 0.000 0.500
10 P 0.500 0.500 0.000



# 11
Compound: ScMn2P
Source: Alexandria via LeMat-Bulk
Functional: PBE-GGA
Structure: optimized geometry

M_tot   3.60 μB per cell
DFT formation energy   -0.2672 eV per atom
DFT total energy   -62.30 eV per cell
Theoretical density   5.66 g/cm³
SG   No. 12

a b c (Å): 8.146 3.047 4.539
angles (deg): 90.00 104.50 90.00
Fractional coordinates of all 8 atoms:
1 Sc 0.000 0.000 0.000
2 Sc 0.500 0.500 0.000
3 Mn 0.227 0.000 0.678
4 Mn 0.273 0.500 0.322
5 Mn 0.727 0.500 0.678
6 Mn 0.773 0.000 0.322
7 P 0.000 0.500 0.500
8 P 0.500 0.000 0.500



# 12
Compound: ScMnP2
Source: Alexandria via LeMat-Bulk
Functional: PBE-GGA
Structure: optimized geometry

Excess energy over the best structure of this formula in the dataset   0 meV/atom
M_tot   5.93 μB per cell
DFT formation energy   -0.8116 eV per atom
DFT total energy   -88.70 eV per cell
Theoretical density   4.34 g/cm³
SG   No. 166

a b c (Å): 3.600 3.600 16.564
angles (deg): 90.00 90.00 120.00
Fractional coordinates of all 12 atoms:
1 Sc 0.000 0.000 0.000
2 Sc 0.333 0.667 0.667
3 Sc 0.667 0.333 0.333
4 Mn 0.000 0.000 0.500
5 Mn 0.333 0.667 0.167
6 Mn 0.667 0.333 0.833
7 P 0.000 0.000 0.237
8 P 0.000 0.000 0.763
9 P 0.333 0.667 0.430
10 P 0.333 0.667 0.904
11 P 0.667 0.333 0.096
12 P 0.667 0.333 0.570



# 13
Compound: ScMn6P6
Source: Alexandria via LeMat-Bulk
Functional: PBE-GGA
Structure: optimized geometry

M_tot   6.51 μB per cell
DFT formation energy   -0.0483 eV per atom
DFT total energy   -94.44 eV per cell
Theoretical density   5.80 g/cm³
SG   No. 191

a b c (Å): 4.916 4.916 7.667
angles (deg): 90.00 90.00 120.00
Fractional coordinates of all 13 atoms:
1 Sc 0.000 0.000 0.000
2 Mn 0.000 0.000 0.353
3 Mn 0.000 0.000 0.647
4 Mn 0.333 0.667 0.000
5 Mn 0.333 0.667 0.500
6 Mn 0.667 0.333 0.000
7 Mn 0.667 0.333 0.500
8 P 0.000 0.500 0.243
9 P 0.000 0.500 0.757
10 P 0.500 0.000 0.243
11 P 0.500 0.000 0.757
12 P 0.500 0.500 0.243
13 P 0.500 0.500 0.757



# 14
Compound: Sc2Mn12P7
Source: Alexandria via LeMat-Bulk
Functional: PBE-GGA
Structure: optimized geometry

M_tot   18.96 μB per cell
DFT formation energy   -0.7090 eV per atom
DFT total energy   -175.46 eV per cell
Theoretical density   6.21 g/cm³
SG   No. 174

a b c (Å): 9.332 9.332 3.428
angles (deg): 90.00 90.00 120.00
Fractional coordinates of all 21 atoms:
1 Sc 0.000 0.000 0.000
2 Sc 0.333 0.667 0.500
3 Mn 0.044 0.765 0.500
4 Mn 0.102 0.383 0.000
5 Mn 0.235 0.279 0.500
6 Mn 0.281 0.898 0.000
7 Mn 0.431 0.231 0.000
8 Mn 0.507 0.058 0.500
9 Mn 0.550 0.493 0.500
10 Mn 0.617 0.719 0.000
11 Mn 0.721 0.956 0.500
12 Mn 0.769 0.199 0.000
13 Mn 0.801 0.569 0.000
14 Mn 0.942 0.450 0.500
15 P 0.085 0.624 0.000
16 P 0.249 0.043 0.500
17 P 0.376 0.462 0.000
18 P 0.538 0.915 0.000
19 P 0.667 0.333 0.500
20 P 0.794 0.751 0.500
21 P 0.957 0.206 0.500



# 15
Compound: ScMn2P
Source: Alexandria via LeMat-Bulk
Functional: PBE-GGA
Structure: optimized geometry

M_tot   2.13 μB per cell
DFT formation energy   -0.3500 eV per atom
DFT total energy   -31.48 eV per cell
Theoretical density   5.43 g/cm³
SG   No. 6

a b c (Å): 3.219 3.950 4.682
angles (deg): 90.00 107.51 90.00
Fractional coordinates of all 4 atoms:
1 Sc 0.000 0.000 0.000
2 Mn 0.356 0.000 0.530
3 Mn 0.734 0.500 0.404
4 P 0.412 0.500 0.803



# 16
Compound: Sc2Mn2Si2P
Source: Alexandria via LeMat-Bulk
Functional: PBE-GGA
Structure: optimized geometry

M_tot   2.62 μB per cell
E_form (uncorrected)   -0.3552 eV/atom
DFT total energy   -99.49 eV per cell
Theoretical density   4.17 g/cm³
SG   No. 139

a b c (Å): 4.076 4.076 13.764
angles (deg): 90.00 90.00 90.00
Fractional coordinates of all 14 atoms:
1 Sc 0.000 0.000 0.180
2 Sc 0.000 0.000 0.820
3 Sc 0.500 0.500 0.320
4 Sc 0.500 0.500 0.680
5 Mn 0.000 0.500 0.000
6 Mn 0.000 0.500 0.500
7 Mn 0.500 0.000 0.000
8 Mn 0.500 0.000 0.500
9 Si 0.000 0.000 0.383
10 Si 0.000 0.000 0.617
11 Si 0.500 0.500 0.117
12 Si 0.500 0.500 0.883
13 P 0.000 0.000 0.000
14 P 0.500 0.500 0.500



# 17
Compound: ScMn2TlP
Source: Alexandria via LeMat-Bulk
Functional: PBE-GGA
Structure: optimized geometry

M_tot   5.38 μB per cell
DFT formation energy   0.2852 eV per atom
DFT total energy   -31.02 eV per cell
Theoretical density   6.31 g/cm³
SG   No. 123

a b c (Å): 4.402 4.402 5.296
angles (deg): 90.00 90.00 90.00
Fractional coordinates of all 5 atoms:
1 Sc 0.000 0.000 0.000
2 Mn 0.000 0.500 0.500
3 Mn 0.500 0.000 0.500
4 Tl 0.500 0.500 0.000
5 P 0.500 0.500 0.500



# 18
Compound: ScMn2VP
Source: Alexandria via LeMat-Bulk
Functional: PBE-GGA
Structure: optimized geometry

M_tot   5.17 μB per cell
DFT formation energy   0.3349 eV per atom
DFT total energy   -37.52 eV per cell
Theoretical density   4.51 g/cm³
SG   No. 123

a b c (Å): 4.407 4.407 4.490
angles (deg): 90.00 90.00 90.00
Fractional coordinates of all 5 atoms:
1 Sc 0.000 0.000 0.000
2 Mn 0.000 0.500 0.500
3 Mn 0.500 0.000 0.500
4 V 0.500 0.500 0.500
5 P 0.500 0.500 0.000



# 19
Compound: MnPSe4
Source: Alexandria via LeMat-Bulk
Functional: PBE-GGA
Structure: optimized geometry

M_tot   4.43 μB per cell
E_form (uncorrected)   0.8795 eV/atom
DFT total energy   -23.24 eV per cell
Theoretical density   5.33 g/cm³
SG   No. 216

a b c (Å): 5.614 5.614 5.614
angles (deg): 60.00 60.00 60.00
Fractional coordinates of all 6 atoms:
1 Mn 0.000 0.000 0.000
2 P 0.750 0.750 0.750
3 Se 0.375 0.375 0.375
4 Se 0.375 0.375 0.875
5 Se 0.375 0.875 0.375
6 Se 0.875 0.375 0.375



# 20
Compound: MnPSe3
Source: Alexandria via LeMat-Bulk
Functional: PBE-GGA
Structure: optimized geometry

M_tot   4.78 μB per cell
E_form (uncorrected)   0.4803 eV/atom
DFT total energy   -22.63 eV per cell
Theoretical density   4.75 g/cm³
SG   No. 221

a b c (Å): 4.831 4.831 4.831
angles (deg): 90.00 90.00 90.00
Fractional coordinates of all 5 atoms:
1 Mn 0.000 0.000 0.000
2 P 0.500 0.500 0.500
3 Se 0.000 0.500 0.500
4 Se 0.500 0.000 0.500
5 Se 0.500 0.500 0.000